# ZrSc2Sn PBE relaxed
data_ZrSc2Sn
_chemical_formula_sum 'Zr3 Sc6 Sn3'
_space_group_name_H-M_alt 'R -3 m'
_space_group_IT_number 166
_space_group_name_Hall '-R 3 2"'
_cell_length_a 3.2793
_cell_length_b 3.2793
_cell_length_c 32.9013
_cell_angle_alpha 90.00
_cell_angle_beta 90.00
_cell_angle_gamma 120.00
loop_
_atom_site_label
_atom_site_type_symbol
_atom_site_fract_x
_atom_site_fract_y
_atom_site_fract_z
Zr1 Zr 0.0000 0.0000 0.0000
Sc1 Sc 0.0000 0.0000 0.4092
Sn1 Sn 0.0000 0.0000 0.5000
# calculated formation energy: 4.95 kJ per mole of atoms
# mass density: 4.87 g/cm³



# ZrSc5Sn3 PBE relaxed
data_ZrSc5Sn3
_chemical_formula_sum 'Zr2 Sc10 Sn6'
_space_group_name_H-M_alt 'P 63/m c m'
_space_group_IT_number 193
_space_group_name_Hall '-P 6c 2'
_cell_length_a 8.7126
_cell_length_b 8.7126
_cell_length_c 6.1401
_cell_angle_alpha 90.00
_cell_angle_beta 90.00
_cell_angle_gamma 120.00
loop_
_atom_site_label
_atom_site_type_symbol
_atom_site_fract_x
_atom_site_fract_y
_atom_site_fract_z
Zr1 Zr 0.0000 0.0000 0.0000
Sc1 Sc 0.0000 0.3304 0.2500
Sc2 Sc 0.3333 0.6667 0.0000
Sn1 Sn 0.0000 0.3347 0.7500
# calculated formation energy: -53.64 kJ per mole of atoms
# mass density: 5.53 g/cm³



# ZrSc3Sn PBE relaxed
data_ZrSc3Sn
_chemical_formula_sum 'Zr1 Sc3 Sn1'
_space_group_name_H-M_alt 'P m -3 m'
_space_group_IT_number 221
_space_group_name_Hall '-P 4 2 3'
_cell_length_a 5.1390
_cell_length_b 5.1390
_cell_length_c 5.1390
_cell_angle_alpha 90.00
_cell_angle_beta 90.00
_cell_angle_gamma 90.00
loop_
_atom_site_label
_atom_site_type_symbol
_atom_site_fract_x
_atom_site_fract_y
_atom_site_fract_z
Zr1 Zr 0.0000 0.0000 0.0000
Sc1 Sc 0.0000 0.0000 0.5000
Sn1 Sn 0.5000 0.5000 0.5000
# calculated formation energy: 59.14 kJ per mole of atoms
# mass density: 4.22 g/cm³
# energy relative to the lowest polymorph listed for this composition: 0.9482 eV per atom



# ZrSc2Sn PBE relaxed
data_ZrSc2Sn
_chemical_formula_sum 'Zr1 Sc2 Sn1'
_space_group_name_H-M_alt 'P 4/m m m'
_space_group_IT_number 123
_space_group_name_Hall '-P 4 2'
_cell_length_a 4.4978
_cell_length_b 4.4978
_cell_length_c 4.4315
_cell_angle_alpha 90.00
_cell_angle_beta 90.00
_cell_angle_gamma 90.00
loop_
_atom_site_label
_atom_site_type_symbol
_atom_site_fract_x
_atom_site_fract_y
_atom_site_fract_z
Zr1 Zr 0.0000 0.0000 0.0000
Sc1 Sc 0.0000 0.5000 0.5000
Sn1 Sn 0.5000 0.5000 0.0000
# calculated formation energy: -37.64 kJ per mole of atoms
# mass density: 5.55 g/cm³



# ZrScSn PBE relaxed
data_ZrScSn
_chemical_formula_sum 'Zr2 Sc2 Sn2'
_space_group_name_H-M_alt 'I 4 m m'
_space_group_IT_number 107
_space_group_name_Hall 'I 4 -2'
_cell_length_a 3.7324
_cell_length_b 3.7324
_cell_length_c 9.7304
_cell_angle_alpha 90.00
_cell_angle_beta 90.00
_cell_angle_gamma 90.00
loop_
_atom_site_label
_atom_site_type_symbol
_atom_site_fract_x
_atom_site_fract_y
_atom_site_fract_z
Zr1 Zr 0.0000 0.0000 0.0000
Sc1 Sc 0.0000 0.0000 0.3290
Sn1 Sn 0.0000 0.0000 0.6644
# calculated formation energy: -37.17 kJ per mole of atoms
# mass density: 6.24 g/cm³



# ZrSc2Sn PBE relaxed
data_ZrSc2Sn
_chemical_formula_sum 'Zr3 Sc6 Sn3'
_space_group_name_H-M_alt 'R 3 m'
_space_group_IT_number 160
_space_group_name_Hall 'R 3 -2"'
_cell_length_a 3.3251
_cell_length_b 3.3251
_cell_length_c 29.8566
_cell_angle_alpha 90.00
_cell_angle_beta 90.00
_cell_angle_gamma 120.00
loop_
_atom_site_label
_atom_site_type_symbol
_atom_site_fract_x
_atom_site_fract_y
_atom_site_fract_z
Zr1 Zr 0.0000 0.0000 0.0000
Sc1 Sc 0.0000 0.0000 0.5827
Sc2 Sc 0.0000 0.0000 0.7511
Sn1 Sn 0.0000 0.0000 0.1667
# calculated formation energy: -22.04 kJ per mole of atoms
# mass density: 5.22 g/cm³



# ZrSc2Sn PBE relaxed
data_ZrSc2Sn
_chemical_formula_sum 'Zr1 Sc2 Sn1'
_space_group_name_H-M_alt 'P 4/m m m'
_space_group_IT_number 123
_space_group_name_Hall '-P 4 2'
_cell_length_a 3.5022
_cell_length_b 3.5022
_cell_length_c 7.5212
_cell_angle_alpha 90.00
_cell_angle_beta 90.00
_cell_angle_gamma 90.00
loop_
_atom_site_label
_atom_site_type_symbol
_atom_site_fract_x
_atom_site_fract_y
_atom_site_fract_z
Zr1 Zr 0.0000 0.0000 0.0000
Sc1 Sc 0.5000 0.5000 0.2595
Sn1 Sn 0.0000 0.0000 0.5000
# calculated formation energy: -29.08 kJ per mole of atoms
# mass density: 5.40 g/cm³



# ZrScSn PBE relaxed
data_ZrScSn
_chemical_formula_sum 'Zr1 Sc1 Sn1'
_space_group_name_H-M_alt 'P 3 m 1'
_space_group_IT_number 156
_cell_length_a 4.9941
_cell_length_b 4.9941
_cell_length_c 3.0644
_cell_angle_alpha 90.00
_cell_angle_beta 90.00
_cell_angle_gamma 120.00
loop_
_space_group_symop_operation_xyz
'x,y,z'
'-y,x-y,z'
'-x+y,-x,z'
'-y,-x,z'
'-x+y,y,z'
'x,x-y,z'
loop_
_atom_site_label
_atom_site_type_symbol
_atom_site_fract_x
_atom_site_fract_y
_atom_site_fract_z
Zr1 Zr 0.0000 0.0000 0.0000
Sc1 Sc 0.6667 0.3333 0.0019
Sn1 Sn 0.3333 0.6667 0.5010
# calculated formation energy: -13.15 kJ per mole of atoms
# mass density: 6.39 g/cm³



# Zr12ScSn6 PBE relaxed
data_Zr12ScSn6
_chemical_formula_sum 'Zr36 Sc3 Sn18'
_space_group_name_H-M_alt 'R -3'
_space_group_IT_number 148
_space_group_name_Hall '-R 3'
_cell_length_a 10.7408
_cell_length_b 10.7408
_cell_length_c 13.0823
_cell_angle_alpha 90.00
_cell_angle_beta 90.00
_cell_angle_gamma 120.00
loop_
_atom_site_label
_atom_site_type_symbol
_atom_site_fract_x
_atom_site_fract_y
_atom_site_fract_z
Zr1 Zr 0.0524 0.8668 0.3029
Zr2 Zr 0.0671 0.2135 0.9106
Sc1 Sc 0.0000 0.0000 0.5000
Sn1 Sn 0.0266 0.5882 0.2158
# calculated formation energy: -28.28 kJ per mole of atoms
# mass density: 7.06 g/cm³



# Sr3Sc PBE relaxed
data_Sr3Sc
_chemical_formula_sum 'Sr6 Sc2'
_space_group_name_H-M_alt 'I m m 2'
_space_group_IT_number 44
_cell_length_a 4.2514
_cell_length_b 12.8103
_cell_length_c 6.3915
_cell_angle_alpha 90.00
_cell_angle_beta 90.00
_cell_angle_gamma 90.00
loop_
_space_group_symop_operation_xyz
'x,y,z'
'-x,-y,z'
'-x,y,z'
'x,-y,z'
'x+1/2,y+1/2,z+1/2'
'-x+1/2,-y+1/2,z+1/2'
'-x+1/2,y+1/2,z+1/2'
'x+1/2,-y+1/2,z+1/2'
loop_
_atom_site_label
_atom_site_type_symbol
_atom_site_fract_x
_atom_site_fract_y
_atom_site_fract_z
Sr1 Sr 0.0000 0.0000 0.0000
Sr2 Sr 0.0000 0.2271 0.4988
Sc1 Sc 0.0000 0.5000 0.0001
# calculated formation energy: 24.31 kJ per mole of atoms
# mass density: 2.94 g/cm³
# energy relative to the lowest polymorph listed for this composition: 0.0455 eV per atom



# Sr4Sc5 PBE relaxed
data_Sr4Sc5
_chemical_formula_sum 'Sr8 Sc10'
_space_group_name_H-M_alt 'P 63/m c m'
_space_group_IT_number 193
_space_group_name_Hall '-P 6c 2'
_cell_length_a 10.0658
_cell_length_b 10.0658
_cell_length_c 6.8979
_cell_angle_alpha 90.00
_cell_angle_beta 90.00
_cell_angle_gamma 120.00
loop_
_atom_site_label
_atom_site_type_symbol
_atom_site_fract_x
_atom_site_fract_y
_atom_site_fract_z
Sr1 Sr 0.0000 0.0000 0.0000
Sr2 Sr 0.0000 0.3207 0.2500
Sc1 Sc 0.0000 0.3672 0.7500
Sc2 Sc 0.3333 0.6667 0.0000
# calculated formation energy: 41.89 kJ per mole of atoms
# mass density: 3.16 g/cm³



# Sr3Sc PBE relaxed
data_Sr3Sc
_chemical_formula_sum 'Sr6 Sc2'
_space_group_name_H-M_alt 'P m -3 n'
_space_group_IT_number 223
_space_group_name_Hall '-P 4n 2 3'
_cell_length_a 7.1489
_cell_length_b 7.1489
_cell_length_c 7.1489
_cell_angle_alpha 90.00
_cell_angle_beta 90.00
_cell_angle_gamma 90.00
loop_
_atom_site_label
_atom_site_type_symbol
_atom_site_fract_x
_atom_site_fract_y
_atom_site_fract_z
Sr1 Sr 0.0000 0.2500 0.5000
Sc1 Sc 0.0000 0.0000 0.0000
# calculated formation energy: 32.15 kJ per mole of atoms
# mass density: 2.80 g/cm³
# energy relative to the lowest polymorph listed for this composition: 0.1267 eV per atom